The following is a DFT calculation (PBE-GGA) of crystalline DyZrCdRh at its relaxed geometry.

Cell: 6.979 6.979 6.979 Å, 90.00 90.00 90.00°
Space group F-43m (No. 216)
Asymmetric unit:
Dy 0.000 0.000 0.000 [4 per cell]
Zr 0.000 0.000 0.500 [4 per cell]
Cd 0.250 0.250 0.750 [4 per cell]
Rh 0.250 0.250 0.250 [4 per cell]

Properties
Density of states at the Fermi level ... 1.03 states/eV/atom
Theoretical density ... 9.17 g/cm3
Final energy ... -91.46 eV/cell
Energy of formation from the pure elements ... -1.45 eV/f.u.

The following is a DFT calculation (PBE-GGA) of crystalline Sm4Y9In11 at its relaxed geometry.

Cell: 16.069 23.409 3.506 Å, 90.00 90.00 90.00°
Space group Cmmm (No. 65)
Asymmetric unit:
Sm 0.174 0.082 0.000 [8 per cell]
Y 0.000 0.000 0.000 [2 per cell]
Y 0.107 0.404 0.000 [8 per cell]
Y 0.111 0.223 0.000 [8 per cell]
In 0.000 0.121 0.500 [4 per cell]
In 0.000 0.311 0.500 [4 per cell]
In 0.000 0.500 0.500 [2 per cell]
In 0.201 0.500 0.500 [4 per cell]
In 0.225 0.316 0.500 [8 per cell]

Properties
Density of states at the Fermi level ... 0.83 states/eV/atom
Theoretical density ... 6.71 g/cm3
Final energy ... -234.60 eV/cell
Energy of formation from the pure elements ... -10.12 eV/f.u.

The following is a DFT calculation (PBE-GGA) of crystalline CeMnPt3 at its relaxed geometry.

Cell: 6.3514 6.3514 5.4769 Å, 90.00 90.00 120.00°
Space group P6_3/mmc (No. 194)
Asymmetric unit:
Ce 0.3333 0.6667 0.2500 [2 per cell]
Mn 0.0000 0.0000 0.0000 [2 per cell]
Pt 0.1931 0.3863 0.7500 [6 per cell]

Properties
Density of states at the Fermi level ... 1.26 states/eV/atom
Theoretical density ... 13.54 g/cm3
Final energy ... -72.82 eV/cell
Energy of formation from the pure elements ... -3.18 eV/f.u.

The following is a DFT calculation (PBE-GGA) of crystalline YMo2Pt at its relaxed geometry.

Cell: 3.432 4.853 8.906 Å, 90.00 90.00 90.00°
Space group Imm2 (No. 44)
Asymmetric unit:
Y 0.000 0.000 0.000 [2 per cell]
Mo 0.000 0.000 0.523 [2 per cell]
Mo 0.000 0.500 0.228 [2 per cell]
Pt 0.000 0.500 0.770 [2 per cell]

Properties
Density of states at the Fermi level ... 0.86 states/eV/atom
ΔE to the lowest computed polymorph ... 140 meV per atom
Theoretical density ... 10.66 g/cm3
Final energy ... -68.30 eV/cell
Energy of formation from the pure elements ... 0.01 eV/f.u.

The following is a DFT calculation (PBE-GGA) of crystalline LaNbCo2 at its relaxed geometry.

Cell: 3.126 3.126 7.173 Å, 90.00 90.00 90.00°
Space group P4/mmm (No. 123)
Asymmetric unit:
La 0.000 0.000 0.000 [1 per cell]
Nb 0.000 0.000 0.500 [1 per cell]
Co 0.500 0.500 0.313 [2 per cell]

Properties
Density of states at the Fermi level ... 1.12 states/eV/atom
ΔE to the lowest computed polymorph ... 0 meV per atom
Theoretical density ... 8.28 g/cm3
Final energy ... -29.28 eV/cell
Energy of formation from the pure elements ... -0.07 eV/f.u.

The following is a DFT calculation (PBE-GGA) of crystalline DyPaNi4 at its relaxed geometry.

Cell: 7.154 7.154 7.154 Å, 90.00 90.00 90.00°
Space group F-43m (No. 216)
Asymmetric unit:
Dy 0.000 0.000 0.000 [4 per cell]
Pa 0.250 0.250 0.250 [4 per cell]
Ni 0.125 0.125 0.625 [16 per cell]

Properties
Density of states at the Fermi level ... 1.31 states/eV/atom
Theoretical density ... 11.40 g/cm3
Final energy ... -157.53 eV/cell
Energy of formation from the pure elements ... -2.16 eV/f.u.

The following is a DFT calculation (PBE-GGA) of crystalline Na4Pu3ScS8 at its relaxed geometry.

Cell: 7.9545 7.9545 19.8573 Å, 90.00 90.00 120.00°
Space group R-3m (No. 166, hexagonal axes)
Asymmetric unit:
Na 0.0000 0.0000 0.0000 [3 per cell]
Na 0.0000 0.5000 0.0000 [9 per cell]
Pu 0.0000 0.5000 0.5000 [9 per cell]
Sc 0.0000 0.0000 0.5000 [3 per cell]
S 0.0000 0.0000 0.2422 [6 per cell]
S 0.0124 0.5062 0.2408 [18 per cell]

Properties
Density of states at the Fermi level ... 1.66 states/eV/atom
Theoretical density ... 5.15 g/cm3
Final energy ... -338.94 eV/cell

The following is a DFT calculation (PBE-GGA) of crystalline V6SnGe at its relaxed geometry.

Cell: 4.367 5.848 9.072 Å, 90.00 90.00 90.00°
Space group Amm2 (No. 38)
Asymmetric unit:
V 0.000 0.000 0.000 [2 per cell]
V 0.000 0.234 0.772 [4 per cell]
V 0.500 0.000 0.738 [2 per cell]
V 0.500 0.247 0.468 [4 per cell]
Sn 0.500 0.000 0.211 [2 per cell]
Ge 0.000 0.000 0.524 [2 per cell]

Properties
Density of states at the Fermi level ... 0.76 states/eV/atom
Theoretical density ... 7.12 g/cm3
Final energy ... -128.94 eV/cell
Energy of formation from the pure elements ... -1.14 eV/f.u.